<i>
DFT (PBE-GGA) results for a relaxed structure of BIr2F.

Properties
M_tot ... 0.00 μB/f.u.
Theoretical density ... 11.948 g/cm³

CIF file:
```
data_BIr2F
_symmetry_space_group_name_H-M 'P 1'
_symmetry_Int_Tables_number 1
_cell_length_a 6.637
_cell_length_b 6.637
_cell_length_c 6.637
_cell_angle_alpha 140.95
_cell_angle_beta 140.95
_cell_angle_gamma 56.42
loop_
_symmetry_equiv_pos_as_xyz
'x,y,z'
loop_
_atom_site_label
_atom_site_fract_x
_atom_site_fract_y
_atom_site_fract_z
B1 0.000 0.000 0.000
B2 0.750 0.250 0.500
Ir1 0.058 0.625 0.933
Ir2 0.375 0.308 0.433
Ir3 0.692 0.125 0.067
Ir4 0.875 0.942 0.567
F1 0.250 0.750 0.500
F2 0.500 0.500 0.000
```

<ii>
DFT (PBE-GGA) results for a relaxed structure of BIr2F.

Properties
M_tot ... 0.00 μB/f.u.
Theoretical density ... 15.616 g/cm³

CIF file:
```
data_BIr2F
_symmetry_space_group_name_H-M 'P 1'
_symmetry_Int_Tables_number 1
_cell_length_a 3.964
_cell_length_b 3.964
_cell_length_c 3.964
_cell_angle_alpha 60.00
_cell_angle_beta 60.00
_cell_angle_gamma 60.00
loop_
_symmetry_equiv_pos_as_xyz
'x,y,z'
loop_
_atom_site_label
_atom_site_fract_x
_atom_site_fract_y
_atom_site_fract_z
B1 0.000 0.000 0.000
Ir1 0.250 0.250 0.250
Ir2 0.750 0.750 0.750
F1 0.500 0.500 0.500
```

Most stable structure: <i>

<i>
DFT (PBE-GGA) results for a relaxed structure of BIrF2.

Properties
M_tot ... 1.00 μB/f.u.
Theoretical density ... 8.611 g/cm³

CIF file:
```
data_BIrF2
_symmetry_space_group_name_H-M 'P 1'
_symmetry_Int_Tables_number 1
_cell_length_a 5.085
_cell_length_b 5.085
_cell_length_c 5.085
_cell_angle_alpha 60.00
_cell_angle_beta 60.00
_cell_angle_gamma 60.00
loop_
_symmetry_equiv_pos_as_xyz
'x,y,z'
loop_
_atom_site_label
_atom_site_fract_x
_atom_site_fract_y
_atom_site_fract_z
B1 0.125 0.125 0.125
B2 0.875 0.875 0.875
Ir1 0.375 0.375 0.375
Ir2 0.625 0.625 0.625
F1 0.000 0.000 0.000
F2 0.000 0.000 0.500
F3 0.000 0.500 0.000
F4 0.500 0.000 0.000
```

<ii>
DFT (PBE-GGA) results for a relaxed structure of BIrF2.

Properties
M_tot ... 1.46 μB/f.u.
Theoretical density ... 6.666 g/cm³

CIF file:
```
data_BIrF2
_symmetry_space_group_name_H-M 'P 1'
_symmetry_Int_Tables_number 1
_cell_length_a 10.257
_cell_length_b 10.257
_cell_length_c 10.257
_cell_angle_alpha 14.64
_cell_angle_beta 14.64
_cell_angle_gamma 14.64
loop_
_symmetry_equiv_pos_as_xyz
'x,y,z'
loop_
_atom_site_label
_atom_site_fract_x
_atom_site_fract_y
_atom_site_fract_z
B1 0.000 0.000 0.000
Ir1 0.500 0.500 0.500
F1 0.044 0.044 0.044
F2 0.956 0.956 0.956
```

Most stable structure: <ii>

<i>
DFT (PBE-GGA) results for a relaxed structure of BIrF2.

Properties
M_tot ... 0.00 μB/f.u.
Theoretical density ... 8.572 g/cm³

CIF file:
```
data_BIrF2
_symmetry_space_group_name_H-M 'P 1'
_symmetry_Int_Tables_number 1
_cell_length_a 7.952
_cell_length_b 7.952
_cell_length_c 7.952
_cell_angle_alpha 19.02
_cell_angle_beta 19.02
_cell_angle_gamma 19.02
loop_
_symmetry_equiv_pos_as_xyz
'x,y,z'
loop_
_atom_site_label
_atom_site_fract_x
_atom_site_fract_y
_atom_site_fract_z
B1 0.000 0.000 0.000
Ir1 0.500 0.500 0.500
F1 0.416 0.416 0.416
F2 0.584 0.584 0.584
```

<ii>
DFT (PBE-GGA) results for a relaxed structure of BIrF2.

Properties
M_tot ... 2.00 μB/f.u.
Theoretical density ... 8.773 g/cm³

CIF file:
```
data_BIrF2
_symmetry_space_group_name_H-M 'P 1'
_symmetry_Int_Tables_number 1
_cell_length_a 4.011
_cell_length_b 4.011
_cell_length_c 4.011
_cell_angle_alpha 60.00
_cell_angle_beta 60.00
_cell_angle_gamma 60.00
loop_
_symmetry_equiv_pos_as_xyz
'x,y,z'
loop_
_atom_site_label
_atom_site_fract_x
_atom_site_fract_y
_atom_site_fract_z
B1 0.000 0.000 0.000
Ir1 0.500 0.500 0.500
F1 0.250 0.250 0.250
F2 0.750 0.750 0.750
```

Most stable structure: <i>

<i>
DFT (PBE-GGA) results for a relaxed structure of BIrOF2.

Properties
M_tot ... 1.27 μB/f.u.
Theoretical density ... 7.904 g/cm³

CIF file:
```
data_BIrOF2
_symmetry_space_group_name_H-M 'P 1'
_symmetry_Int_Tables_number 1
_cell_length_a 4.577
_cell_length_b 4.577
_cell_length_c 2.577
_cell_angle_alpha 90.00
_cell_angle_beta 90.00
_cell_angle_gamma 90.00
loop_
_symmetry_equiv_pos_as_xyz
'x,y,z'
loop_
_atom_site_label
_atom_site_fract_x
_atom_site_fract_y
_atom_site_fract_z
B1 0.000 0.000 0.000
Ir1 0.500 0.500 0.500
O1 0.000 0.000 0.500
F1 0.000 0.500 0.000
F2 0.500 0.000 0.000
```

<ii>
DFT (PBE-GGA) results for a relaxed structure of BIrOF2.

Properties
M_tot ... 0.00 μB/f.u.
Theoretical density ... 6.078 g/cm³

CIF file:
```
data_BIrOF2
_symmetry_space_group_name_H-M 'P 1'
_symmetry_Int_Tables_number 1
_cell_length_a 4.339
_cell_length_b 4.339
_cell_length_c 3.730
_cell_angle_alpha 90.00
_cell_angle_beta 90.00
_cell_angle_gamma 90.00
loop_
_symmetry_equiv_pos_as_xyz
'x,y,z'
loop_
_atom_site_label
_atom_site_fract_x
_atom_site_fract_y
_atom_site_fract_z
B1 0.000 0.000 0.000
Ir1 0.500 0.500 0.500
O1 0.500 0.500 0.000
F1 0.000 0.500 0.500
F2 0.500 0.000 0.500
```

Most stable structure: <i>

<i>
DFT (PBE-GGA) results for a relaxed structure of KBF2.

Properties
M_tot ... 0.00 μB/f.u.
Theoretical density ... 1.885 g/cm³

CIF file:
```
data_KBF2
_symmetry_space_group_name_H-M 'P 1'
_symmetry_Int_Tables_number 1
_cell_length_a 6.797
_cell_length_b 6.797
_cell_length_c 6.797
_cell_angle_alpha 134.96
_cell_angle_beta 134.96
_cell_angle_gamma 65.59
loop_
_symmetry_equiv_pos_as_xyz
'x,y,z'
loop_
_atom_site_label
_atom_site_fract_x
_atom_site_fract_y
_atom_site_fract_z
K1 0.000 0.000 0.000
K2 0.750 0.250 0.500
B1 0.250 0.750 0.500
B2 0.500 0.500 0.000
F1 0.213 0.625 0.088
F2 0.375 0.463 0.588
F3 0.537 0.125 0.912
F4 0.875 0.787 0.412
```

<ii>
DFT (PBE-GGA) results for a relaxed structure of KBF2.

Properties
M_tot ... 0.00 μB/f.u.
Theoretical density ... 1.716 g/cm³

CIF file:
```
data_KBF2
_symmetry_space_group_name_H-M 'P 1'
_symmetry_Int_Tables_number 1
_cell_length_a 6.428
_cell_length_b 6.428
_cell_length_c 6.428
_cell_angle_alpha 36.72
_cell_angle_beta 36.72
_cell_angle_gamma 36.72
loop_
_symmetry_equiv_pos_as_xyz
'x,y,z'
loop_
_atom_site_label
_atom_site_fract_x
_atom_site_fract_y
_atom_site_fract_z
K1 0.000 0.000 0.000
B1 0.500 0.500 0.500
F1 0.408 0.408 0.408
F2 0.592 0.592 0.592
```

<iii>
DFT (PBE-GGA) results for a relaxed structure of KBF2.

Properties
M_tot ... 0.00 μB/f.u.
Theoretical density ... 2.521 g/cm³

CIF file:
```
data_KBF2
_symmetry_space_group_name_H-M 'P 1'
_symmetry_Int_Tables_number 1
_cell_length_a 4.342
_cell_length_b 4.342
_cell_length_c 4.342
_cell_angle_alpha 60.00
_cell_angle_beta 60.00
_cell_angle_gamma 60.00
loop_
_symmetry_equiv_pos_as_xyz
'x,y,z'
loop_
_atom_site_label
_atom_site_fract_x
_atom_site_fract_y
_atom_site_fract_z
K1 0.000 0.000 0.000
B1 0.500 0.500 0.500
F1 0.250 0.250 0.250
F2 0.750 0.750 0.750
```

Most stable structure: <ii>

<i>
DFT (PBE-GGA) results for a relaxed structure of KB3F.

Properties
M_tot ... 0.00 μB/f.u.
Theoretical density ... 1.770 g/cm³

CIF file:
```
data_KB3F
_symmetry_space_group_name_H-M 'P 1'
_symmetry_Int_Tables_number 1
_cell_length_a 4.396
_cell_length_b 4.396
_cell_length_c 4.396
_cell_angle_alpha 90.00
_cell_angle_beta 90.00
_cell_angle_gamma 90.00
loop_
_symmetry_equiv_pos_as_xyz
'x,y,z'
loop_
_atom_site_label
_atom_site_fract_x
_atom_site_fract_y
_atom_site_fract_z
K1 0.000 0.000 0.000
B1 0.000 0.500 0.500
B2 0.500 0.000 0.500
B3 0.500 0.500 0.000
F1 0.500 0.500 0.500
```

<ii>
DFT (PBE-GGA) results for a relaxed structure of KB3F.

Properties
M_tot ... 3.00 μB/f.u.
Theoretical density ... 0.733 g/cm³

CIF file:
```
data_KB3F
_symmetry_space_group_name_H-M 'P 1'
_symmetry_Int_Tables_number 1
_cell_length_a 5.898
_cell_length_b 5.898
_cell_length_c 5.898
_cell_angle_alpha 90.00
_cell_angle_beta 90.00
_cell_angle_gamma 90.00
loop_
_symmetry_equiv_pos_as_xyz
'x,y,z'
loop_
_atom_site_label
_atom_site_fract_x
_atom_site_fract_y
_atom_site_fract_z
K1 0.000 0.000 0.000
B1 0.000 0.000 0.500
B2 0.000 0.500 0.000
B3 0.500 0.000 0.000
F1 0.500 0.500 0.500
```

Most stable structure: <i>